PBE with a Hubbard U NbTl2Cr2O6, optimized geometry; energy = -78.48 eV/f.u.; space group = No. 12; M_tot = 6.0 μB/cell
1.0
2.673 -4.563 0.000
2.673 4.563 0.000
-1.856 0.000 7.313
Nb Tl Cr O
1 2 2 6
direct
0.000 0.000 0.000
0.329 0.671 0.500
0.671 0.329 0.500
0.333 0.667 0.000
0.667 0.333 0.000
0.049 0.715 0.139
0.285 0.951 0.861
0.378 0.378 0.139
0.622 0.622 0.861
0.715 0.049 0.139
0.951 0.285 0.861